Entry 1:
! TbSmHgAu | the Alexandria database | PBE | optimized geometry; values from VASP
&SYSTEM
  ibrav = 0, nat = 4, ntyp = 4
/
ATOMIC_SPECIES
Tb 158.93 Tb.upf
Hg 200.59 Hg.upf
Sm 150.36 Sm.upf
Au 196.97 Au.upf
ATOMIC_POSITIONS angstrom
Tb -5.1593 -6.8261 -4.4051
Hg -3.4395 -4.5507 -2.9367
Sm -1.7198 -2.2754 -1.4684
Au 0.0000 0.0000 0.0000
CELL_PARAMETERS angstrom
-2.9880 -1.0849 -4.1638
0.1821 -4.7569 -2.1866
-4.0731 -3.2596 0.4769
! Energy above the most stable polymorph in this dataset ... 0.339 kcal/mol of atoms
! Energy of formation ... -0.635 eV per atom
! Space group ... No. 216

***

Entry 2:
! TbSmHgAu | the Alexandria database | PBE | optimized geometry; values from VASP
&SYSTEM
  ibrav = 0, nat = 4, ntyp = 4
/
ATOMIC_SPECIES
Au 196.97 Au.upf
Tb 158.93 Tb.upf
Hg 200.59 Hg.upf
Sm 150.36 Sm.upf
ATOMIC_POSITIONS angstrom
Au 0.0000 0.0000 2.7248
Tb 1.8510 1.8510 4.4084
Hg 0.0000 0.0000 6.3012
Sm 1.8510 1.8510 0.8630
CELL_PARAMETERS angstrom
3.7019 0.0000 0.0000
0.0000 3.7019 0.0000
0.0000 0.0000 7.4158
! Energy above the most stable polymorph in this dataset ... 0.000 kcal/mol of atoms
! Energy of formation ... -0.650 eV per atom
! Space group ... No. 99

***

Entry 3:
! SmZnHgAu | the Alexandria database | PBE | optimized geometry; values from VASP
&SYSTEM
  ibrav = 0, nat = 4, ntyp = 4
/
ATOMIC_SPECIES
Hg 200.59 Hg.upf
Zn 65.41 Zn.upf
Au 196.97 Au.upf
Sm 150.36 Sm.upf
ATOMIC_POSITIONS angstrom
Hg 2.4826 1.4334 1.0135
Zn 0.0000 0.0000 0.0000
Au 7.4479 4.3001 3.0406
Sm 4.9653 2.8667 2.0271
CELL_PARAMETERS angstrom
4.9653 0.0000 0.0000
2.4826 4.3001 0.0000
2.4826 1.4334 4.0541
! Energy of formation ... -0.463 eV per atom
! Space group ... No. 216

***

Entry 4:
! Sm2Zn3HgAu4 | the Alexandria database | PBE | optimized geometry; values from VASP
&SYSTEM
  ibrav = 0, nat = 10, ntyp = 4
/
ATOMIC_SPECIES
Zn 65.41 Zn.upf
Au 196.97 Au.upf
Sm 150.36 Sm.upf
Hg 200.59 Hg.upf
ATOMIC_POSITIONS angstrom
Zn -1.1538 -1.0011 2.1318
Zn -5.2953 5.4876 7.3775
Zn -1.9669 3.0321 4.7718
Au -4.4709 4.2168 5.3776
Au -2.5154 -1.5778 -0.0343
Au -1.9782 0.2697 4.1317
Au 0.0000 0.0000 0.0000
Sm -3.6267 2.8111 8.1313
Sm -2.8224 1.6754 1.3781
Hg -4.4823 1.4543 4.7375
CELL_PARAMETERS angstrom
-3.7558 0.4387 -1.8268
-1.2750 -3.5942 1.7583
-3.9337 6.0642 9.5436
! Energy of formation ... -0.463 eV per atom
! Space group ... No. 115

***

Entry 5:
! SnHg2Au | the Alexandria database | PBE | optimized geometry; values from VASP
&SYSTEM
  ibrav = 0, nat = 8, ntyp = 3
/
ATOMIC_SPECIES
Sn 118.71 Sn.upf
Hg 200.59 Hg.upf
Au 196.97 Au.upf
ATOMIC_POSITIONS angstrom
Sn 0.0899 -0.7835 5.7709
Sn 2.8136 -3.0173 8.3646
Hg -0.6879 2.1742 6.2838
Hg 2.1651 -3.0457 5.3323
Hg 2.2189 -1.0143 14.6237
Hg 2.0328 -0.0331 8.6827
Au 0.0000 0.0000 0.0000
Au 0.0508 2.0578 9.0967
CELL_PARAMETERS angstrom
-2.6729 4.2916 6.5030
2.8528 -5.8586 5.0388
2.6846 0.6076 5.9194
! Energy of formation ... 0.069 eV per atom
! Space group ... No. 122

***

Entry 6:
! Sn8HgAu2 | the Alexandria database | PBE | optimized geometry; values from VASP
&SYSTEM
  ibrav = 0, nat = 11, ntyp = 3
/
ATOMIC_SPECIES
Au 196.97 Au.upf
Hg 200.59 Hg.upf
Sn 118.71 Sn.upf
ATOMIC_POSITIONS angstrom
Au -4.7766 -1.3069 1.4326
Au -3.5497 2.8991 2.3603
Hg -8.3404 1.5913 3.8155
Sn -2.3885 0.3040 1.7806
Sn -3.1092 2.7123 -0.5410
Sn -3.0478 -2.9870 3.2160
Sn -1.4182 2.5993 4.4481
Sn -5.2189 -1.1193 4.3337
Sn -3.9768 -0.2620 -1.1970
Sn -5.9361 1.2880 2.0111
Sn -4.3514 1.8546 4.9896
CELL_PARAMETERS angstrom
-3.8639 1.9802 -3.8678
-3.8708 -5.7667 2.6253
-0.6203 5.3766 5.0831
! Energy of formation ... -0.011 eV per atom
! Space group ... No. 12

***

Entry 7:
! Sn2HgAu | the Alexandria database | PBE | optimized geometry; values from VASP
&SYSTEM
  ibrav = 0, nat = 4, ntyp = 3
/
ATOMIC_SPECIES
Au 196.97 Au.upf
Sn 118.71 Sn.upf
Hg 200.59 Hg.upf
ATOMIC_POSITIONS angstrom
Au 0.0000 0.0000 0.0000
Sn 2.1726 1.2633 1.2702
Sn 6.5104 3.7857 5.2207
Hg 4.3415 2.5245 3.2454
CELL_PARAMETERS angstrom
4.3685 0.0385 -0.0138
2.1942 3.7777 -0.0138
2.1202 1.2329 6.5185
! Energy of formation ... -0.081 eV per atom
! Space group ... No. 12

***

Entry 8:
! SnHg3Au2 | the Alexandria database | PBE | optimized geometry; values from VASP
&SYSTEM
  ibrav = 0, nat = 12, ntyp = 3
/
ATOMIC_SPECIES
Au 196.97 Au.upf
Hg 200.59 Hg.upf
Sn 118.71 Sn.upf
ATOMIC_POSITIONS angstrom
Au -1.6915 -1.0512 -1.4161
Au 1.2074 -3.0665 -4.3909
Au -1.8587 -5.0681 -2.0379
Au 1.0403 -7.0835 -5.0127
Hg -0.7147 -0.7645 -4.2022
Hg 0.0635 -7.3701 -2.2266
Hg 2.0125 0.1352 -5.8661
Hg -2.6638 -8.2698 -0.5627
Hg -0.7691 -5.9371 0.6122
Hg 0.1178 -2.1975 -7.0410
Sn -0.9465 -4.9934 -4.6929
Sn 0.2953 -3.1413 -1.7359
CELL_PARAMETERS angstrom
-3.6887 0.3481 -1.2575
2.6323 1.0258 -7.4374
0.4052 -9.5086 2.2661
! Energy of formation ... -0.006 eV per atom
! Space group ... No. 12

***

Entry 9:
! SnHg2Au | the Alexandria database | PBE | optimized geometry; values from VASP
&SYSTEM
  ibrav = 0, nat = 4, ntyp = 3
/
ATOMIC_SPECIES
Hg 200.59 Hg.upf
Au 196.97 Au.upf
Sn 118.71 Sn.upf
ATOMIC_POSITIONS angstrom
Hg 3.0432 3.5983 -0.5000
Hg 1.1240 1.6060 0.5269
Au 1.6790 2.1860 3.2871
Sn -0.2778 0.1516 4.0996
CELL_PARAMETERS angstrom
4.0823 0.0012 -0.7843
-0.1692 4.0671 -0.8420
-0.8149 -0.8364 6.5491
! Energy of formation ... 0.000 eV per atom
! Space group ... No. 5

***

Entry 10:
! Sn2Hg2Au | the Alexandria database | PBE | optimized geometry; values from VASP
&SYSTEM
  ibrav = 0, nat = 10, ntyp = 3
/
ATOMIC_SPECIES
Hg 200.59 Hg.upf
Au 196.97 Au.upf
Sn 118.71 Sn.upf
ATOMIC_POSITIONS angstrom
Hg -3.3548 -5.6167 -2.2653
Hg -4.8660 -0.3495 -0.5700
Hg -1.3549 -2.3457 -0.9418
Hg -6.8659 -3.6205 -1.8935
Au 0.0000 0.0000 0.0000
Au -4.1104 -2.9831 -1.4177
Sn -6.6293 -2.2291 1.0212
Sn -2.7983 -1.5671 1.6047
Sn -1.9843 -5.2219 0.4068
Sn -5.8153 -5.8839 -0.1767
CELL_PARAMETERS angstrom
-7.3815 1.0069 -0.3294
-0.8394 -6.9731 -2.5059
-0.3928 -1.4849 4.2634
! Energy above the most stable polymorph in this dataset ... 3.924 kcal/mol of atoms
! Energy of formation ... 0.133 eV per atom
! Space group ... No. 127

***

Entry 11:
! Sn2HgAu | the Alexandria database | PBE | optimized geometry; values from VASP
&SYSTEM
  ibrav = 0, nat = 8, ntyp = 3
/
ATOMIC_SPECIES
Sn 118.71 Sn.upf
Hg 200.59 Hg.upf
Au 196.97 Au.upf
ATOMIC_POSITIONS angstrom
Sn 6.0380 6.2473 2.3706
Sn 5.8286 2.0127 0.7902
Sn 10.0633 9.8539 2.3706
Sn 2.2220 6.0380 0.7902
Hg 8.0506 4.0253 1.5804
Hg 0.0000 0.0000 0.0000
Au 4.0253 8.0506 1.5804
Au 4.0253 4.0253 0.0000
CELL_PARAMETERS angstrom
8.0506 0.0000 0.0000
0.0000 8.0506 0.0000
4.0253 4.0253 3.1608
! Energy of formation ... -0.002 eV per atom
! Space group ... No. 122

***

Entry 12:
! Sn2Hg2Au | the Alexandria database | PBE | optimized geometry; values from VASP
&SYSTEM
  ibrav = 0, nat = 5, ntyp = 3
/
ATOMIC_SPECIES
Au 196.97 Au.upf
Sn 118.71 Sn.upf
Hg 200.59 Hg.upf
ATOMIC_POSITIONS angstrom
Au 0.0000 0.0000 0.0000
Sn -3.1268 -0.0061 0.6731
Sn -7.4970 2.3389 4.1530
Hg -5.1051 0.1398 3.3646
Hg -5.5187 2.1930 1.4615
CELL_PARAMETERS angstrom
-3.0611 1.1409 -2.3118
-2.2338 -2.9655 1.4943
-5.3289 4.1574 5.6436
! Energy above the most stable polymorph in this dataset ... 4.686 kcal/mol of atoms
! Energy of formation ... 0.166 eV per atom
! Space group ... No. 139

***

Here are the calculated density of states at the Fermi level numbers, same order: 0.72; 0.80; 0.30; 0.52; 0.41; 0.36; 0.27; 0.27; 0.33; 0.45; 0.37; 0.52 (states/eV per atom).
Here are the calculated volume numbers, same order: 101.65; 101.63; 86.56; 211.13; 200.01; 297.87; 107.17; 281.15; 103.15; 251.99; 204.86; 133.55 (Å³/cell).